[1]
{"formula": "RuW2Au", "functional": "PBE", "state": "optimized geometry", "relative_energy_kj_per_mol_atoms": 9.2, "formation_enthalpy_0k_ev_per_atom": 0.277, "lattice_angstrom": [[4.849, 0.002, 0.001], [4.012, 2.723, 0.001], [0.869, 0.267, 4.825]], "species": ["Au", "Ru", "W", "W"], "frac_coords": [[0.500, 0.500, 0.505], [0.256, 0.256, 0.227], [0.997, 0.997, 0.018], [0.746, 0.746, 0.750]]}


[2]
{"formula": "Na3UCu2Te6", "functional": "PBE", "state": "optimized geometry", "e_form_raw_ev_per_atom": -0.48, "lattice_angstrom": [[7.919, -0.761, -0.124], [-4.617, 6.479, -0.124], [-1.242, -2.150, 7.473]], "species": ["Na", "Na", "Na", "U", "Cu", "Cu", "Te", "Te", "Te", "Te", "Te", "Te"], "frac_coords": [[0.186, 0.814, 0.500], [0.814, 0.186, 0.500], [0.500, 0.500, 0.500], [0.000, 0.000, 0.000], [0.409, 0.591, 0.000], [0.591, 0.409, 0.000], [0.874, 0.566, 0.804], [0.792, 0.792, 0.271], [0.126, 0.434, 0.196], [0.566, 0.874, 0.804], [0.208, 0.208, 0.729], [0.434, 0.126, 0.196]]}


Number 1: energy -9.3376 eV/atom. Number 2: energy -4.0052 eV/atom.